1.
Below is a relaxed structure of Y4AlZn3, with properties calculated at the PBE-GGA level.

Unit cell a=3.5985 b=5.0716 c=10.1464 alpha=90.00 beta=90.00 gamma=90.00
Closest atoms and distances in Å follow each position.
Space group Pmmm (No. 47)
One atom of each set of equivalent atoms:
Y 0.0000 0.0000 0.0000  8 Zn 3.11-3.12
Y 0.0000 0.0000 0.5000  4 Zn 3.10, 4 Al 3.11
Y 0.0000 0.5000 0.2479  6 Zn 3.09-3.11, 2 Al 3.13
Al 0.5000 0.5000 0.5000  8 Y 3.11-3.13
Zn 0.5000 0.0000 0.2509  8 Y 3.10-3.12
Zn 0.5000 0.5000 0.0000  8 Y 3.09-3.11

Results
VASP energy, eV per atom: -4.5567
DFT formation energy, eV per atom: -0.379

2.
Below is a relaxed structure of Nd12Sm2Tm, with properties calculated at the PBE-GGA level.

Unit cell a=7.2289 b=11.6756 c=25.1045 alpha=90.00 beta=90.00 gamma=90.00
Closest atoms and distances in Å follow each position.
Space group Cmme (No. 67)
One atom of each set of equivalent atoms:
Nd 0.0000 0.0015 0.0735  2 Tm 3.45-3.46, 9 Nd 3.61-3.70
Nd 0.0000 0.0243 0.5601  5 Nd 3.07-3.41
Nd 0.2296 0.2500 0.4167  7 Nd 3.32-3.72
Nd 0.2483 0.2500 0.8723  8 Nd 3.41-3.70, 2 Tm 3.66-3.70
Nd 0.2500 0.0000 0.1982  3 Nd 3.19-3.41
Nd 0.2500 0.0000 0.3253  3 Nd 3.19-3.41
Sm 0.0000 0.2500 0.2665  2 Sm 3.62, 10 Nd 3.74-3.93
Sm 0.0000 0.2500 0.7277  2 Sm 3.62, 10 Nd 3.68-4.05
Tm 0.0000 0.2500 0.9994  8 Nd 3.45-3.70, 2 Tm 3.61

Results
VASP energy, eV per atom: -4.5883
DFT formation energy, eV per atom: 0.153

3.
Below is a relaxed structure of Lu3H12Pt5, with properties calculated at the PBE-GGA level.

Unit cell a=11.7239 b=11.7239 c=11.7239 alpha=90.00 beta=90.00 gamma=90.00
Closest atoms and distances in Å follow each position.
Space group Ia-3d (No. 230)
One atom of each set of equivalent atoms:
Lu 0.0000 0.2500 0.1250  8 H 2.28-2.35
H 0.0300 0.0528 0.6456  2 Pt 1.77-1.85
Pt 0.0000 0.0000 0.0000  6 H 1.85
Pt 0.0000 0.2500 0.3750  4 H 1.77

Results
VASP energy, eV per atom: -4.4863

4.
Below is a relaxed structure of PmPaTlO6, with properties calculated at the PBE-GGA level.

Unit cell a=5.7676 b=5.7676 c=4.8849 alpha=90.00 beta=90.00 gamma=120.00
Closest atoms and distances in Å follow each position.
Space group P312 (No. 149)
One atom of each set of equivalent atoms:
Pm 0.0000 0.0000 0.0000  6 O 2.36
Pa 0.3333 0.6667 0.5000  6 O 2.18
Tl 0.6667 0.3333 0.0000  6 O 2.30
O 0.0165 0.3578 0.7497  1 Pa 2.18, 1 Tl 2.30, 1 Pm 2.36

Results
VASP energy, eV per atom: -7.4943
E_form (uncorrected), eV/atom: -2.34

Number 1: DOS at the Fermi energy 7.8 states/eV/cell, V 185.2 Å³/cell, magnetic moment 0.00 μB/f.u.. Number 2: DOS at the Fermi energy 89.3 states/eV/cell, V 2118.9 Å³/cell, magnetic moment 0.00 μB/f.u.. Number 3: DOS at the Fermi energy 50.6 states/eV/cell, V 1611.5 Å³/cell, magnetic moment 0.00 μB/f.u.. Number 4: DOS at the Fermi energy 9.8 states/eV/cell, V 140.7 Å³/cell, magnetic moment 0.00 μB/f.u..